No. 1
Here is a relaxed LiScO2F crystal from Alexandria via LeMat-Bulk. Energies are from PBE-GGA.

## Properties
**Formation energy from raw total energies**: -56.14 kcal/mol of atoms
**DOS(E_F)**: 0.8 states/eV/cell
**Calculated volume**: 13.83 Å³/atom
**Crystal system**: tetragonal
**Uncorrected energy**: -6.4410 eV per atom

Cell and atoms, written as CIF:
```
data_LiScO2F
_chemical_formula_sum 'Li1 Sc1 O2 F1'
_space_group_name_H-M_alt 'P 1'
_space_group_IT_number 1
_cell_length_a 4.0782
_cell_length_b 4.0782
_cell_length_c 4.1577
_cell_angle_alpha 90.00
_cell_angle_beta 90.00
_cell_angle_gamma 90.00
loop_
_space_group_symop_operation_xyz
'x,y,z'
loop_
_atom_site_label
_atom_site_type_symbol
_atom_site_fract_x
_atom_site_fract_y
_atom_site_fract_z
Li1 Li 0.0000 0.0000 0.0000
Sc1 Sc 0.5000 0.5000 0.5000
O1 O 0.0000 0.5000 0.5000
O2 O 0.5000 0.0000 0.5000
F1 F 0.5000 0.5000 0.0000
```



No. 2
Here is a relaxed LiSeO2F crystal from Alexandria via LeMat-Bulk. Energies are from PBE-GGA.

## Properties
**Formation energy from raw total energies**: -23.46 kcal/mol of atoms
**DOS(E_F)**: 0.3 states/eV/cell
**Calculated volume**: 12.99 Å³/atom
**Crystal system**: tetragonal
**Uncorrected energy**: -4.4548 eV per atom

Cell and atoms, written as CIF:
```
data_LiSeO2F
_chemical_formula_sum 'Li1 Se1 O2 F1'
_space_group_name_H-M_alt 'P 1'
_space_group_IT_number 1
_cell_length_a 3.8618
_cell_length_b 3.8618
_cell_length_c 4.3545
_cell_angle_alpha 90.00
_cell_angle_beta 90.00
_cell_angle_gamma 90.00
loop_
_space_group_symop_operation_xyz
'x,y,z'
loop_
_atom_site_label
_atom_site_type_symbol
_atom_site_fract_x
_atom_site_fract_y
_atom_site_fract_z
Li1 Li 0.0000 0.0000 0.0000
Se1 Se 0.5000 0.5000 0.5000
O1 O 0.0000 0.5000 0.5000
O2 O 0.5000 0.0000 0.5000
F1 F 0.5000 0.5000 0.0000
```



No. 3
Here is a relaxed Li5SeO4F2 crystal from Alexandria via LeMat-Bulk. Energies are from PBE-GGA.

## Properties
**Formation energy from raw total energies**: -44.06 kcal/mol of atoms
**DOS(E_F)**: 1.3 states/eV/cell
**Calculated volume**: 10.53 Å³/atom
**Crystal system**: orthorhombic
**Uncorrected energy**: -4.9630 eV per atom

Cell and atoms, written as CIF:
```
data_Li5SeO4F2
_chemical_formula_sum 'Li5 Se1 O4 F2'
_space_group_name_H-M_alt 'P 1'
_space_group_IT_number 1
_cell_length_a 5.8312
_cell_length_b 5.0736
_cell_length_c 5.0736
_cell_angle_alpha 122.66
_cell_angle_beta 90.00
_cell_angle_gamma 90.00
loop_
_space_group_symop_operation_xyz
'x,y,z'
loop_
_atom_site_label
_atom_site_type_symbol
_atom_site_fract_x
_atom_site_fract_y
_atom_site_fract_z
Li1 Li 0.0000 0.0000 0.0000
Li2 Li 0.2486 0.3182 0.6900
Li3 Li 0.2486 0.6900 0.3182
Li4 Li 0.7514 0.3182 0.6900
Li5 Li 0.7514 0.6900 0.3182
Se1 Se 0.5000 0.0222 0.0222
O1 O 0.2641 0.2515 0.2515
O2 O 0.5000 0.0032 0.6466
O3 O 0.5000 0.6466 0.0032
O4 O 0.7359 0.2515 0.2515
F1 F 0.0000 0.5983 0.9520
F2 F 0.0000 0.9520 0.5983
```



No. 4
Here is a relaxed LiSeO2F crystal from Alexandria via LeMat-Bulk. Energies are from PBE-GGA.

## Properties
**Formation energy from raw total energies**: -7.45 kcal/mol of atoms
**DOS(E_F)**: 2.0 states/eV/cell
**Calculated volume**: 9.62 Å³/atom
**Crystal system**: tetragonal
**Uncorrected energy**: -3.7604 eV per atom

Cell and atoms, written as CIF:
```
data_LiSeO2F
_chemical_formula_sum 'Li1 Se1 O2 F1'
_space_group_name_H-M_alt 'P 1'
_space_group_IT_number 1
_cell_length_a 3.7662
_cell_length_b 3.7662
_cell_length_c 3.3900
_cell_angle_alpha 90.00
_cell_angle_beta 90.00
_cell_angle_gamma 90.00
loop_
_space_group_symop_operation_xyz
'x,y,z'
loop_
_atom_site_label
_atom_site_type_symbol
_atom_site_fract_x
_atom_site_fract_y
_atom_site_fract_z
Li1 Li 0.0000 0.0000 0.0000
Se1 Se 0.5000 0.5000 0.5000
O1 O 0.0000 0.5000 0.0000
O2 O 0.5000 0.0000 0.0000
F1 F 0.0000 0.0000 0.5000
```



No. 5
Here is a relaxed LiSiO2F crystal from Alexandria via LeMat-Bulk. Energies are from PBE-GGA.

## Properties
**Formation energy from raw total energies**: -54.51 kcal/mol of atoms
**DOS(E_F)**: 0.0 states/eV/cell
**Calculated volume**: 8.93 Å³/atom
**Crystal system**: tetragonal
**Uncorrected energy**: -6.1885 eV per atom

Cell and atoms, written as CIF:
```
data_LiSiO2F
_chemical_formula_sum 'Li1 Si1 O2 F1'
_space_group_name_H-M_alt 'P 1'
_space_group_IT_number 1
_cell_length_a 3.4378
_cell_length_b 3.4378
_cell_length_c 3.7765
_cell_angle_alpha 90.00
_cell_angle_beta 90.00
_cell_angle_gamma 90.00
loop_
_space_group_symop_operation_xyz
'x,y,z'
loop_
_atom_site_label
_atom_site_type_symbol
_atom_site_fract_x
_atom_site_fract_y
_atom_site_fract_z
Li1 Li 0.0000 0.0000 0.0000
Si1 Si 0.5000 0.5000 0.5000
O1 O 0.0000 0.5000 0.5000
O2 O 0.5000 0.0000 0.5000
F1 F 0.5000 0.5000 0.0000
```



No. 6
Here is a relaxed LiSiO2F crystal from Alexandria via LeMat-Bulk. Energies are from PBE-GGA.

## Properties
**Formation energy from raw total energies**: -13.12 kcal/mol of atoms
**DOS(E_F)**: 3.6 states/eV/cell
**Calculated volume**: 8.97 Å³/atom
**Crystal system**: tetragonal
**Uncorrected energy**: -4.3940 eV per atom

Cell and atoms, written as CIF:
```
data_LiSiO2F
_chemical_formula_sum 'Li1 Si1 O2 F1'
_space_group_name_H-M_alt 'P 1'
_space_group_IT_number 1
_cell_length_a 3.6652
_cell_length_b 3.6652
_cell_length_c 3.3384
_cell_angle_alpha 90.00
_cell_angle_beta 90.00
_cell_angle_gamma 90.00
loop_
_space_group_symop_operation_xyz
'x,y,z'
loop_
_atom_site_label
_atom_site_type_symbol
_atom_site_fract_x
_atom_site_fract_y
_atom_site_fract_z
Li1 Li 0.0000 0.0000 0.0000
Si1 Si 0.5000 0.5000 0.5000
O1 O 0.0000 0.5000 0.0000
O2 O 0.5000 0.0000 0.0000
F1 F 0.0000 0.0000 0.5000
```



No. 7
Here is a relaxed Li2SnO2F6 crystal from Alexandria via LeMat-Bulk. Energies are from PBE-GGA.

## Properties
**Formation energy from raw total energies**: -38.68 kcal/mol of atoms
**Calculated volume**: 13.50 Å³/atom
**Crystal system**: monoclinic
**Uncorrected energy**: -4.3112 eV per atom

Cell and atoms, written as CIF:
```
data_Li2SnO2F6
_chemical_formula_sum 'Li2 Sn1 O2 F6'
_space_group_name_H-M_alt 'P 1'
_space_group_IT_number 1
_cell_length_a 5.6566
_cell_length_b 5.6566
_cell_length_c 4.7839
_cell_angle_alpha 92.17
_cell_angle_beta 92.17
_cell_angle_gamma 76.29
loop_
_space_group_symop_operation_xyz
'x,y,z'
loop_
_atom_site_label
_atom_site_type_symbol
_atom_site_fract_x
_atom_site_fract_y
_atom_site_fract_z
Li1 Li 0.0000 0.5000 0.0000
Li2 Li 0.5000 0.0000 0.0000
Sn1 Sn 0.0000 0.0000 0.5000
O1 O 0.3576 0.3576 0.1694
O2 O 0.6424 0.6424 0.8306
F1 F 0.0992 0.6920 0.7094
F2 F 0.1729 0.1729 0.7944
F3 F 0.3080 0.9008 0.2906
F4 F 0.6920 0.0992 0.7094
F5 F 0.8271 0.8271 0.2056
F6 F 0.9008 0.3080 0.2906
```



No. 8
Here is a relaxed LiSnOF2 crystal from Alexandria via LeMat-Bulk. Energies are from PBE-GGA.

## Properties
**Formation energy from raw total energies**: -41.35 kcal/mol of atoms
**DOS(E_F)**: 1.4 states/eV/cell
**Calculated volume**: 10.61 Å³/atom
**Crystal system**: tetragonal
**Uncorrected energy**: -4.7168 eV per atom

Cell and atoms, written as CIF:
```
data_LiSnOF2
_chemical_formula_sum 'Li1 Sn1 O1 F2'
_space_group_name_H-M_alt 'P 1'
_space_group_IT_number 1
_cell_length_a 3.5594
_cell_length_b 3.5594
_cell_length_c 4.1866
_cell_angle_alpha 90.00
_cell_angle_beta 90.00
_cell_angle_gamma 90.00
loop_
_space_group_symop_operation_xyz
'x,y,z'
loop_
_atom_site_label
_atom_site_type_symbol
_atom_site_fract_x
_atom_site_fract_y
_atom_site_fract_z
Li1 Li 0.0000 0.0000 0.0000
Sn1 Sn 0.5000 0.5000 0.5000
O1 O 0.0000 0.0000 0.5000
F1 F 0.0000 0.5000 0.0000
F2 F 0.5000 0.0000 0.0000
```